(1)
Entry from Alexandria via LeMat-Bulk: Ni2SbIrPd after structural relaxation (PBE).

Geometry as POSCAR:
```
Ni2SbIrPd
1.0
-0.217 2.851 3.499
1.840 -3.453 2.927
4.180 1.447 -0.920
Sb Ir Pd Ni
1 1 1 2
Direct
0.000 0.500 0.000
0.000 0.000 0.000
0.500 0.500 0.500
0.000 0.000 0.500
0.500 0.000 0.000
```

Summary:
Its formation energy (no corrections) is 934 meV per atom. The energy comes out at -5.014 eV/atom. The space group is P4/mmm.

=====

(2)
Entry from Alexandria via LeMat-Bulk: AcLa2YTm after structural relaxation (PBE).

Geometry as POSCAR:
```
AcLa2YTm
1.0
-0.019 -1.838 -7.273
-6.416 -5.303 1.357
-0.752 7.154 -1.806
Ac La Y Tm
2 4 2 2
Direct
0.250 0.758 0.517
0.750 0.242 0.483
0.500 0.304 0.000
0.000 0.696 0.000
0.500 0.696 0.000
0.000 0.304 0.000
0.250 0.049 0.098
0.750 0.951 0.902
0.750 0.697 0.393
0.250 0.303 0.607
```

Summary:
The formation energy is 0.356 eV per atom. The energy comes out at -4.624 eV/atom. The space group is Cmcm.

=====

(3)
Entry from Alexandria via LeMat-Bulk: YMnP2 after structural relaxation (PBE).

Geometry as POSCAR:
```
YMnP2
1.0
-3.615 0.342 -1.445
-3.052 -1.363 2.026
-2.689 3.880 2.342
Mn P Y
1 2 1
Direct
0.250 0.250 0.250
0.962 0.962 0.114
0.538 0.538 0.386
0.750 0.750 0.750
```

Summary:
The formation energy is -0.828 eV per atom. The energy comes out at -7.441 eV/atom. The space group is C2/m.

=====

(4)
Entry from Alexandria via LeMat-Bulk: Er3Nb5N12 after structural relaxation (PBE).

Geometry as POSCAR:
```
Er3Nb5N12
1.0
11.182 0.000 0.000
-3.727 10.542 0.000
-3.727 -5.271 9.130
Er Nb N
12 20 48
Direct
0.750 0.375 0.125
0.875 0.750 0.125
0.375 0.750 0.625
0.250 0.125 0.375
0.875 0.125 0.250
0.375 0.625 0.250
0.625 0.375 0.750
0.125 0.875 0.750
0.750 0.875 0.625
0.625 0.250 0.375
0.125 0.250 0.875
0.250 0.625 0.875
0.125 0.375 0.250
0.000 0.500 0.000
0.000 0.000 0.000
0.375 0.250 0.125
0.500 0.000 0.500
0.500 0.500 0.000
0.125 0.750 0.375
0.750 0.125 0.875
0.750 0.625 0.375
0.375 0.125 0.750
0.625 0.875 0.250
0.500 0.500 0.500
0.500 0.000 0.000
0.000 0.000 0.500
0.250 0.375 0.625
0.250 0.875 0.125
0.000 0.500 0.500
0.875 0.250 0.625
0.625 0.750 0.875
0.875 0.625 0.750
0.708 0.122 0.030
0.322 0.530 0.408
0.970 0.378 0.292
0.530 0.208 0.122
0.586 0.708 0.678
0.970 0.592 0.178
0.322 0.792 0.414
0.092 0.914 0.122
0.592 0.970 0.678
0.708 0.586 0.178
0.792 0.470 0.378
0.822 0.908 0.030
0.122 0.708 0.530
0.378 0.408 0.086
0.086 0.908 0.378
0.414 0.122 0.592
0.086 0.178 0.208
0.470 0.678 0.092
0.822 0.914 0.292
0.122 0.414 0.092
0.378 0.970 0.792
0.592 0.622 0.414
0.908 0.822 0.530
0.792 0.322 0.914
0.408 0.378 0.586
0.092 0.178 0.470
0.208 0.678 0.086
0.178 0.086 0.708
0.622 0.030 0.208
0.878 0.586 0.908
0.530 0.322 0.908
0.586 0.878 0.408
0.914 0.822 0.792
0.914 0.092 0.622
0.878 0.292 0.470
0.178 0.092 0.970
0.622 0.592 0.914
0.408 0.030 0.322
0.292 0.414 0.822
0.208 0.530 0.622
0.908 0.086 0.878
0.678 0.208 0.586
0.470 0.792 0.878
0.030 0.408 0.822
0.414 0.292 0.322
0.030 0.622 0.708
0.678 0.470 0.592
0.292 0.878 0.970
```

Summary:
Its formation energy (no corrections) is -914 meV per atom. The energy comes out at -9.111 eV/atom. The space group is Ia-3d.

=====

(5)
Entry from Alexandria via LeMat-Bulk: Tb6Hg2Pt after structural relaxation (PBE).

Geometry as POSCAR:
```
Tb6Hg2Pt
1.0
0.765 0.097 8.602
7.591 1.525 -3.825
2.678 7.772 2.648
Tb Hg Pt
12 4 2
Direct
0.170 0.747 0.083
0.830 0.253 0.917
0.170 0.253 0.577
0.830 0.747 0.423
0.448 0.264 0.816
0.552 0.736 0.184
0.080 0.264 0.184
0.920 0.736 0.816
0.330 0.060 0.270
0.670 0.940 0.730
0.330 0.601 0.730
0.670 0.399 0.270
0.144 0.644 0.500
0.856 0.356 0.500
0.353 0.000 0.647
0.647 0.000 0.353
0.500 0.500 0.000
0.000 0.000 0.000
```

Summary:
The formation energy is -0.432 eV per atom. The energy comes out at -4.257 eV/atom. The space group is Immm.

=====

(6)
Entry from Alexandria via LeMat-Bulk: ZrTeHI2 after structural relaxation (PBE).

Geometry as POSCAR:
```
ZrTeHI2
1.0
5.561 0.000 0.000
0.000 5.561 0.000
0.000 0.000 3.867
I H Te Zr
2 1 1 1
Direct
0.000 0.500 0.000
0.500 0.000 0.000
0.000 0.000 0.000
0.000 0.000 0.500
0.500 0.500 0.500
```

Summary:
The energy comes out at -3.226 eV/atom. The space group is P4/mmm.

=====

no.,density (g/cm³)
1,8.95
2,6.56
3,5.43
4,7.00
5,10.39
6,6.58